Na4BiRh3O8 | PBE | relaxed

Computed properties:
- Total magnetic moment: 0.00 μB/cell
- Calculated total energy: -5.530 eV per atom
- Crystal system: trigonal
- Space group: R-3m (166)
- Formation energy (no corrections): -106.1 kJ/mol of atoms
- V: 196.2 Å³/cell

Unit cell a=6.4600 b=6.5871 c=6.4600 alpha=119.37 beta=120.00 gamma=90.00
Fractional coordinates of all 16 atoms:
O1 0.7289 0.6868 0.4579
O2 0.2711 0.3132 0.5421
O3 0.2534 0.7166 0.5068
O4 0.7098 0.7166 0.9632
O5 0.7466 0.2834 0.4932
O6 0.2534 0.7166 0.9632
O7 0.2902 0.2834 0.0368
O8 0.7466 0.2834 0.0368
Rh1 0.5000 0.5000 0.0000
Rh2 0.0000 0.5000 0.5000
Rh3 0.5000 0.5000 0.5000
Na1 0.5000 0.0000 0.5000
Na2 0.0000 0.0000 0.5000
Na3 0.0000 0.0000 0.0000
Na4 0.5000 0.0000 0.0000
Bi1 0.0000 0.5000 0.0000